P | Entry from Alexandria: KNaY2 after structural relaxation (PBE-GGA).

Calculated values
The density of states at the Fermi level comes out at 1.517 states/eV/atom.

```
4
Lattice="0.359 -5.517 2.186 -4.088 -1.942 3.854 -3.942 -4.122 -1.674" Properties=species:S:1:pos:R:3 pbc="T T T"
Y -1.918 -2.895 1.091
Y -5.754 -8.686 3.274
K -3.836 -5.791 2.183
Na 0.000 0.000 0.000
```

---

Q | Entry from Alexandria: KNaY2 after structural relaxation (PBE-GGA).

Calculated values
The density of states at the Fermi level comes out at 1.328 states/eV/atom.

```
8
Lattice="-3.204 8.171 -3.697 3.124 -2.663 -8.593 -2.981 1.318 -6.769" Properties=species:S:1:pos:R:3 pbc="T T T"
Na -0.040 2.754 -6.145
Na 0.051 0.704 -10.754
Y -2.310 4.982 -5.022
Y -2.220 3.014 -9.813
Y 0.759 -0.193 -7.580
Y -2.352 5.847 -15.704
K -3.112 6.121 -8.306
K 0.000 0.000 0.000
```

---

The calculated energies rank the structures as follows, beginning with the most stable: P, Q.

---

P | Entry from Alexandria: K3NaY after structural relaxation (PBE-GGA).

Calculated values
The density of states at the Fermi level comes out at 0.987 states/eV/atom.

```
5
Lattice="-3.602 -4.129 3.748 5.562 -2.977 2.066 0.396 4.262 5.075" Properties=species:S:1:pos:R:3 pbc="T T T"
Na 0.000 0.000 0.000
K 0.198 2.131 2.537
K 2.781 -1.488 1.033
K -1.801 -2.064 1.874
Y 1.178 -1.422 5.445
```

---

Q | Entry from Alexandria: K3NaY after structural relaxation (PBE-GGA).

Calculated values
The density of states at the Fermi level comes out at 1.392 states/eV/atom.

```
5
Lattice="-2.150 -1.703 -6.783 6.567 -2.933 -1.345 -2.407 -6.483 2.390" Properties=species:S:1:pos:R:3 pbc="T T T"
K -1.203 -3.241 1.195
K 3.283 -1.467 -0.672
K -1.075 -0.851 -3.392
Y 0.000 0.000 0.000
Na 1.005 -5.560 -2.869
```

---

The calculated energies rank the structures as follows, beginning with the most stable: P, Q.